LiInGa2Co after structural relaxation. Source: Alexandria via LeMat-Bulk, functional PBE.

Lattice parameters (Å, degrees): 4.4715 4.7739 4.4715 90.00 90.00 90.00
Each line ends with the local moment (μB).
Fractional coordinates of all 5 atoms:
Ga: 0.5000 0.0000 0.0000  -0.01
Ga: 0.0000 0.0000 0.5000  0.01
In: 0.0000 0.5000 0.0000  -0.01
Co: 0.5000 0.5000 0.5000  1.84
Li: 0.0000 0.0000 0.0000  0.04

## Properties
Theoretical density, Mg/m³: 5.57
Space group: P4/mmm (123)
Energy relative to the elements, eV/atom: 0.694



Pm2Sm4HoMg after structural relaxation. Source: Alexandria via LeMat-Bulk, functional PBE.

Lattice parameters (Å, degrees): 5.0317 5.0399 11.3463 63.63 90.00 90.00
Fractional coordinates of all 8 atoms:
Pm: 0.5000 0.0000 0.5000
Pm: 0.0000 0.0000 0.0000
Sm: 0.5000 0.7518 0.2483
Sm: 0.5000 0.2482 0.7517
Sm: 0.0000 0.7481 0.7518
Sm: 0.0000 0.2519 0.2482
Ho: 0.0000 0.5000 0.5000
Mg: 0.5000 0.5000 0.0000

## Properties
Theoretical density, Mg/m³: 6.96
Space group: P4/mmm (123)
Energy relative to the elements, eV/atom: 0.015



Zr2MnCr2 after structural relaxation. Source: Alexandria via LeMat-Bulk, functional PBE.

Lattice parameters (Å, degrees): 6.0343 6.0343 4.4426 90.00 90.00 90.00
Fractional coordinates of all 10 atoms:
Cr: 0.3635 0.8635 0.0000
Cr: 0.8635 0.6365 0.0000
Cr: 0.6365 0.1365 0.0000
Cr: 0.1365 0.3635 0.0000
Mn: 0.0000 0.0000 0.0000
Mn: 0.5000 0.5000 0.0000
Zr: 0.8225 0.3225 0.5000
Zr: 0.6775 0.8225 0.5000
Zr: 0.1775 0.6775 0.5000
Zr: 0.3225 0.1775 0.5000

## Properties
Theoretical density, Mg/m³: 7.01
Space group: P4/mbm (127)
Energy relative to the elements, eV/atom: 0.188



Ba2InHgO5 after structural relaxation. Source: Alexandria via LeMat-Bulk, functional PBE.

Lattice parameters (Å, degrees): 3.5860 7.7630 11.3934 90.00 90.00 103.35
Each line ends with the local moment (μB).
Fractional coordinates of all 18 atoms:
O: 0.4922 0.9844 0.7759  0.16
O: 0.5078 0.0156 0.2759  0.16
O: 0.3095 0.6189 0.3903  0.21
O: 0.7224 0.4447 0.1427  0.14
O: 0.2776 0.5553 0.6426  0.14
O: 0.6905 0.3811 0.8903  0.21
O: 0.9284 0.8568 0.5632  0.16
O: 0.3598 0.7195 0.9985  0.14
O: 0.0716 0.1432 0.0632  0.16
O: 0.6402 0.2805 0.4985  0.14
Ba: 0.8941 0.7881 0.1815  0.00
Ba: 0.8600 0.7200 0.7999  0.00
Ba: 0.1400 0.2800 0.2999  0.00
Ba: 0.1059 0.2119 0.6814  0.00
Hg: 0.5330 0.0661 0.9554  0.09
Hg: 0.4670 0.9339 0.4554  0.09
In: 0.2157 0.4314 0.0166  -0.01
In: 0.7843 0.5686 0.5166  -0.01

## Properties
Theoretical density, Mg/m³: 7.21
Formation energy from raw total energies, eV per atom: -1.56
Space group: Cmc2_1 (36)



KBaAuO2 after structural relaxation. Source: Alexandria via LeMat-Bulk, functional PBE.

Lattice parameters (Å, degrees): 5.6553 6.0274 7.5083 90.06 90.00 90.00
Fractional coordinates of all 10 atoms:
O: 0.7807 0.7319 0.9993
O: 0.2193 0.2681 0.0007
O: 0.7807 0.2681 0.5007
O: 0.2193 0.7319 0.4993
K: 0.5005 0.0000 0.7500
K: 0.4995 0.0000 0.2500
Ba: 0.0017 0.5000 0.7500
Ba: 0.9983 0.5000 0.2500
Au: 0.0000 0.0000 0.5000
Au: 0.0000 0.0000 0.0000

## Properties
Theoretical density, Mg/m³: 5.26
Formation energy from raw total energies, eV per atom: -1.47
Space group: P2/c (13)



DyNbP2 after structural relaxation. Source: Alexandria via LeMat-Bulk, functional PBE.

Lattice parameters (Å, degrees): 3.6809 3.6809 6.8519 74.42 74.42 60.00
Fractional coordinates of all 4 atoms:
P: 0.2406 0.2406 0.2783
P: 0.0918 0.0918 0.7247
Dy: 0.6717 0.6717 0.9849
Nb: 0.4960 0.4960 0.5121

## Properties
Theoretical density, Mg/m³: 6.89
Space group: R3m (160)
Energy relative to the elements, eV/atom: -1.188



YTl3B after structural relaxation. Source: Alexandria via LeMat-Bulk, functional PBE.

Lattice parameters (Å, degrees): 4.9955 4.9955 4.9955 90.00 90.00 90.00
Fractional coordinates of all 5 atoms:
Tl: 0.0000 0.5000 0.0000
Tl: 0.5000 0.0000 0.0000
Tl: 0.0000 0.0000 0.5000
B: 0.0000 0.0000 0.0000
Y: 0.5000 0.5000 0.5000

## Properties
Theoretical density, Mg/m³: 9.50
Space group: Pm-3m (221)
Energy relative to the elements, eV/atom: 0.558



Tm2PaB2Ru5 after structural relaxation. Source: Alexandria via LeMat-Bulk, functional PBE.

Lattice parameters (Å, degrees): 3.2068 9.7407 9.7407 90.00 90.00 90.00
Fractional coordinates of all 20 atoms:
Ru: 0.5000 0.0737 0.7793
Ru: 0.5000 0.0000 0.5000
Ru: 0.5000 0.7207 0.4263
Ru: 0.5000 0.9263 0.2207
Ru: 0.5000 0.2793 0.5737
Ru: 0.5000 0.2207 0.0737
Ru: 0.5000 0.5737 0.7207
Ru: 0.5000 0.5000 0.0000
Ru: 0.5000 0.4263 0.2793
Ru: 0.5000 0.7793 0.9263
Tm: 0.0000 0.1714 0.3286
Tm: 0.0000 0.8286 0.6714
Tm: 0.0000 0.6714 0.1714
Tm: 0.0000 0.3286 0.8286
Pa: 0.0000 0.5000 0.5000
Pa: 0.0000 0.0000 0.0000
B: 0.0000 0.1196 0.6196
B: 0.0000 0.3804 0.1196
B: 0.0000 0.8804 0.3804
B: 0.0000 0.6196 0.8804

## Properties
Theoretical density, Mg/m³: 11.96
Space group: P4/mbm (127)
Energy relative to the elements, eV/atom: -0.555



NaGaSb2 after structural relaxation. Source: Alexandria via LeMat-Bulk, functional PBE.

Lattice parameters (Å, degrees): 3.7747 3.7747 8.9019 77.76 77.76 60.00
Fractional coordinates of all 4 atoms:
Sb: 0.2630 0.2630 0.2109
Sb: 0.7370 0.7370 0.7891
Na: 0.5000 0.5000 0.5000
Ga: 0.0000 0.0000 0.0000

## Properties
Theoretical density, Mg/m³: 5.24
Formation energy from raw total energies, eV per atom: -0.07
Space group: R-3m (166)



BeTlOs after structural relaxation. Source: Alexandria via LeMat-Bulk, functional PBE.

Lattice parameters (Å, degrees): 2.9649 2.9649 6.5217 90.00 90.00 120.00
Fractional coordinates of all 3 atoms:
Tl: 0.3333 0.6667 0.6690
Be: 0.0000 0.0000 0.0478
Os: 0.6667 0.3333 0.2832

## Properties
Theoretical density, Mg/m³: 13.50
Space group: P3m1 (156)
Energy relative to the elements, eV/atom: 0.715



Er7Hg2Te2 after structural relaxation. Source: Alexandria via LeMat-Bulk, functional PBE.

Lattice parameters (Å, degrees): 4.3027 9.1776 9.1776 62.94 76.44 76.44
Fractional coordinates of all 11 atoms:
Te: 0.5000 0.3581 0.6419
Te: 0.0000 0.7527 0.2473
Hg: 0.7329 0.8594 0.6749
Hg: 0.2671 0.3251 0.1406
Er: 0.8618 0.4033 0.8732
Er: 0.1841 0.7123 0.9194
Er: 0.3735 0.7376 0.5154
Er: 0.1382 0.1268 0.5967
Er: 0.8159 0.0806 0.2877
Er: 0.6265 0.4846 0.2624
Er: 0.5000 0.0134 0.9866

## Properties
Theoretical density, Mg/m³: 9.78
Formation energy from raw total energies, eV per atom: -0.64
Space group: Imm2 (44)



Na2ZnPb after structural relaxation. Source: Alexandria via LeMat-Bulk, functional PBE.

Lattice parameters (Å, degrees): 4.6557 6.0935 8.9150 74.09 74.86 67.54
Fractional coordinates of all 8 atoms:
Na: 0.8167 0.3448 0.0218
Na: 0.1951 0.2572 0.3525
Na: 0.4442 0.4175 0.6941
Na: 0.8184 0.8381 0.5252
Pb: 0.1247 0.9902 0.7604
Pb: 0.5120 0.6843 0.2918
Zn: 0.5566 0.9285 0.9583
Zn: 0.0745 0.7560 0.0951

## Properties
Theoretical density, Mg/m³: 4.78
Space group: Cm (8)
Energy relative to the elements, eV/atom: -0.090



Number 1: uncorrected energy -14.3 eV/cell, volume 19.09 Å³ per atom. Number 2: uncorrected energy -34.4 eV/cell, volume 32.22 Å³ per atom. Number 3: uncorrected energy -89.1 eV/cell, volume 16.18 Å³ per atom. Number 4: uncorrected energy -91.4 eV/cell, volume 17.14 Å³ per atom. Number 5: uncorrected energy -47.1 eV/cell, volume 25.59 Å³ per atom. Number 6: uncorrected energy -30.2 eV/cell, volume 19.11 Å³ per atom. Number 7: uncorrected energy -17.4 eV/cell, volume 24.93 Å³ per atom. Number 8: uncorrected energy -167.4 eV/cell, volume 15.21 Å³ per atom. Number 9: uncorrected energy -12.9 eV/cell, volume 26.63 Å³ per atom. Number 10: uncorrected energy -15.2 eV/cell, volume 16.55 Å³ per atom. Number 11: uncorrected energy -45.9 eV/cell, volume 28.21 Å³ per atom. Number 12: uncorrected energy -16.0 eV/cell, volume 27.66 Å³ per atom.